# 1
The following is a DFT calculation (PBE) of a relaxed GaSe2BrN crystal.

Lattice parameters (Å, degrees): 5.4609 5.4609 3.7578 90.00 90.00 90.00
Positions (direct):
Ga1 0.0000 0.0000 0.0000
Se1 0.0000 0.5000 0.5000
Se2 0.5000 0.0000 0.5000
Br1 0.5000 0.5000 0.5000
N1 0.5000 0.5000 0.0000

## Properties
- Magnetic moment: 0.18 μB/atom
- Polymorph energy (0 for the lowest one): 3.52 eV per formula unit
- Raw formation energy: 1.305 eV/atom
- Crystal system: tetragonal

# 2
The following is a DFT calculation (PBE) of a relaxed Pm3AgRu crystal.

Lattice parameters (Å, degrees): 9.3634 8.4756 6.1183 77.98 62.29 39.73
Positions (direct):
Pm1 0.1910 0.1910 0.8090
Pm2 0.2036 0.5767 0.4233
Pm3 0.4233 0.7964 0.2036
Pm4 0.5767 0.2036 0.7964
Pm5 0.7964 0.4233 0.5767
Pm6 0.8090 0.8090 0.1910
Ag1 0.2085 0.7915 0.7915
Ag2 0.7915 0.2085 0.2085
Ru1 0.2500 0.2500 0.2500
Ru2 0.7500 0.7500 0.7500

## Properties
- Magnetic moment: 0.00 μB/atom
- ΔH_f (0 K): -245.8 meV per atom
- Polymorph energy (0 for the lowest one): 0.00 eV per formula unit
- Crystal system: orthorhombic

# 3
The following is a DFT calculation (PBE) of a relaxed GdThMo4 crystal.

Lattice parameters (Å, degrees): 5.5711 5.5711 5.5711 60.00 60.00 60.00
Positions (direct):
Gd1 0.0000 0.0000 0.0000
Th1 0.2500 0.2500 0.2500
Mo1 0.1255 0.6248 0.6248
Mo2 0.6248 0.1255 0.6248
Mo3 0.6248 0.6248 0.1255
Mo4 0.6248 0.6248 0.6248

## Properties
- Magnetic moment: 1.16 μB/atom
- ΔH_f (0 K): 112.0 meV per atom
- Crystal system: cubic

# 4
The following is a DFT calculation (PBE) of a relaxed LaCd3Tc crystal.

Lattice parameters (Å, degrees): 5.1700 5.1700 5.1700 90.00 90.00 90.00
Positions (direct):
La1 0.0000 0.0000 0.0000
Cd1 0.0000 0.5000 0.5000
Cd2 0.5000 0.0000 0.5000
Cd3 0.5000 0.5000 0.0000
Tc1 0.5000 0.5000 0.5000

## Properties
- Magnetic moment: 0.00 μB/atom
- ΔH_f (0 K): 328.4 meV per atom
- Polymorph energy (0 for the lowest one): 0.00 eV per formula unit
- Crystal system: cubic

# 5
The following is a DFT calculation (PBE) of a relaxed CsCe2InSe5 crystal.

Lattice parameters (Å, degrees): 9.7175 9.7175 9.7175 129.25 129.25 74.60
Positions (direct):
Cs1 0.2500 0.2500 0.0000
Cs2 0.7500 0.7500 0.0000
Ce1 0.1575 0.6575 0.8150
Ce2 0.3425 0.1575 0.5000
Ce3 0.6575 0.8425 0.5000
Ce4 0.8425 0.3425 0.1850
In1 0.2500 0.7500 0.5000
In2 0.7500 0.2500 0.5000
Se1 0.0000 0.0000 0.0000
Se2 0.0268 0.2362 0.5000
Se3 0.2362 0.7362 0.2094
Se4 0.2638 0.4732 0.5000
Se5 0.4732 0.9732 0.2094
Se6 0.5000 0.5000 0.0000
Se7 0.5268 0.0268 0.7906
Se8 0.7362 0.5268 0.5000
Se9 0.7638 0.2638 0.7906
Se10 0.9732 0.7638 0.5000

## Properties
- Magnetic moment: 0.18 μB/atom
- Raw formation energy: -1.348 eV/atom
- Crystal system: tetragonal

# 6
The following is a DFT calculation (PBE) of a relaxed TaHgW2 crystal.

Lattice parameters (Å, degrees): 2.7818 2.7818 9.2018 90.00 90.00 90.00
Positions (direct):
Ta1 0.0000 0.0000 0.0000
Hg1 0.5000 0.5000 0.7408
W1 0.0000 0.0000 0.4862
W2 0.5000 0.5000 0.2446

## Properties
- Magnetic moment: 0.00 μB/atom
- ΔH_f (0 K): 507.8 meV per atom
- Crystal system: tetragonal

# 7
The following is a DFT calculation (PBE) of a relaxed Tm4TlZn3 crystal.

Lattice parameters (Å, degrees): 3.6815 4.5404 11.3236 90.00 90.00 90.00
Positions (direct):
Tm1 0.0000 0.0000 0.0000
Tm2 0.0000 0.5000 0.2893
Tm3 0.5000 0.0000 0.4764
Tm4 0.5000 0.5000 0.8061
Tl1 0.0000 0.0000 0.7139
Zn1 0.0000 0.5000 0.5572
Zn2 0.5000 0.0000 0.2125
Zn3 0.5000 0.5000 0.0714

## Properties
- Magnetic moment: 0.00 μB/atom
- ΔH_f (0 K): -287.5 meV per atom
- Polymorph energy (0 for the lowest one): 0.34 eV per formula unit
- Crystal system: orthorhombic

# 8
The following is a DFT calculation (PBE) of a relaxed HoGe2Pd5 crystal.

Lattice parameters (Å, degrees): 6.4717 6.4717 6.4717 145.86 111.36 78.94
Positions (direct):
Ho1 0.0000 0.0000 0.0000
Ge1 0.2505 0.7505 0.5000
Ge2 0.7495 0.2495 0.5000
Pd1 0.1566 0.3568 0.7998
Pd2 0.4430 0.6432 0.7998
Pd3 0.5000 0.0000 0.5000
Pd4 0.5570 0.3568 0.2002
Pd5 0.8434 0.6432 0.2002

## Properties
- Magnetic moment: 0.00 μB/atom
- ΔH_f (0 K): -648.5 meV per atom
- Crystal system: orthorhombic

# 9
The following is a DFT calculation (PBE) of a relaxed Fe2AsOs crystal.

Lattice parameters (Å, degrees): 8.0817 8.0817 8.0817 19.42 19.42 19.42
Positions (direct):
Fe1 0.2467 0.2467 0.2467
Fe2 0.7533 0.7533 0.7533
As1 0.5000 0.5000 0.5000
Os1 0.0000 0.0000 0.0000

## Properties
- Magnetic moment: 0.53 μB/atom
- ΔH_f (0 K): 209.8 meV per atom
- Crystal system: trigonal

# 10
The following is a DFT calculation (PBE) of a relaxed Pr2As3Au crystal.

Lattice parameters (Å, degrees): 9.2055 9.2055 15.6558 90.00 90.00 90.00
Positions (direct):
Pr1 0.0000 0.0000 0.1770
Pr2 0.0000 0.0000 0.8230
As1 0.0000 0.0000 0.0000
As2 0.0000 0.0000 0.3477
As3 0.0000 0.0000 0.6523
Au1 0.0000 0.0000 0.5000

## Properties
- Magnetic moment: 0.22 μB/atom
- ΔH_f (0 K): 937.0 meV per atom
- Crystal system: tetragonal

# 11
The following is a DFT calculation (PBE) of a relaxed PrSm2Ho4Sc crystal.

Lattice parameters (Å, degrees): 7.0858 7.1130 9.9472 90.00 90.00 90.00
Positions (direct):
Pr1 0.0000 0.0000 0.0000
Pr2 0.5000 0.0000 0.5000
Sm1 0.0000 0.0000 0.5000
Sm2 0.0000 0.5000 0.0000
Sm3 0.0000 0.5000 0.5000
Sm4 0.5000 0.5000 0.5000
Ho1 0.2552 0.2511 0.2428
Ho2 0.2552 0.2511 0.7572
Ho3 0.2552 0.7489 0.2428
Ho4 0.2552 0.7489 0.7572
Ho5 0.7448 0.2511 0.2428
Ho6 0.7448 0.2511 0.7572
Ho7 0.7448 0.7489 0.2428
Ho8 0.7448 0.7489 0.7572
Sc1 0.5000 0.0000 0.0000
Sc2 0.5000 0.5000 0.0000

## Properties
- Magnetic moment: 0.00 μB/atom
- ΔH_f (0 K): 33.0 meV per atom
- Crystal system: orthorhombic

# 12
The following is a DFT calculation (PBE) of a relaxed Ac2CuO crystal.

Lattice parameters (Å, degrees): 3.4800 3.4800 7.4742 90.00 90.00 90.00
Positions (direct):
Ac1 0.0000 0.0000 0.2286
Ac2 0.0000 0.0000 0.7714
Cu1 0.5000 0.5000 0.5000
O1 0.5000 0.5000 0.0000

## Properties
- Magnetic moment: 0.01 μB/atom
- Polymorph energy (0 for the lowest one): 1.59 eV per formula unit
- Raw formation energy: -0.800 eV/atom
- Crystal system: tetragonal

# 13
The following is a DFT calculation (PBE) of a relaxed NaUAs2 crystal.

Lattice parameters (Å, degrees): 7.1940 7.1940 7.1940 34.07 34.07 34.07
Positions (direct):
Na1 0.0000 0.0000 0.0000
U1 0.5000 0.5000 0.5000
As1 0.2368 0.2368 0.2368
As2 0.7632 0.7632 0.7632

## Properties
- Magnetic moment: 0.25 μB/atom
- ΔH_f (0 K): -534.9 meV per atom
- Polymorph energy (0 for the lowest one): 0.00 eV per formula unit
- Crystal system: trigonal

# 14
The following is a DFT calculation (PBE) of a relaxed Nb2TlC crystal.

Lattice parameters (Å, degrees): 7.5081 7.5081 7.5081 24.96 24.96 24.96
Positions (direct):
Nb1 0.2197 0.2197 0.2197
Nb2 0.7803 0.7803 0.7803
Tl1 0.0000 0.0000 0.0000
C1 0.5000 0.5000 0.5000

## Properties
- Magnetic moment: 0.00 μB/atom
- ΔH_f (0 K): -261.5 meV per atom
- Crystal system: trigonal

# 15
The following is a DFT calculation (PBE) of a relaxed Dy3SeS2 crystal.

Lattice parameters (Å, degrees): 6.9810 6.9810 10.7874 90.00 90.00 146.73
Positions (direct):
Dy1 0.0978 0.9022 0.7500
Dy2 0.3561 0.6439 0.5567
Dy3 0.3561 0.6439 0.9433
Dy4 0.6439 0.3561 0.0567
Dy5 0.6439 0.3561 0.4433
Dy6 0.9022 0.0978 0.2500
Se1 0.2455 0.7545 0.2500
Se2 0.7545 0.2455 0.7500
S1 0.0000 0.0000 0.0000
S2 0.0000 0.0000 0.5000
S3 0.4731 0.5269 0.7500
S4 0.5269 0.4731 0.2500

## Properties
- Magnetic moment: 0.00 μB/atom
- Polymorph energy (0 for the lowest one): 2.01 eV per formula unit
- Raw formation energy: -1.566 eV/atom
- Crystal system: orthorhombic

# 16
The following is a DFT calculation (PBE) of a relaxed Na2Sr5Pt crystal.

Lattice parameters (Å, degrees): 10.6718 8.3201 16.8561 90.00 90.00 90.00
Positions (direct):
Na1 0.0499 0.2500 0.1959
Na2 0.2068 0.7500 0.4117
Na3 0.2932 0.2500 0.9117
Na4 0.4501 0.7500 0.6959
Na5 0.5499 0.2500 0.3041
Na6 0.7068 0.7500 0.0883
Na7 0.7932 0.2500 0.5883
Na8 0.9501 0.7500 0.8041
Sr1 0.0000 0.0000 0.0000
Sr2 0.0000 0.5000 0.0000
Sr3 0.0564 0.7500 0.2090
Sr4 0.1383 0.0009 0.6069
Sr5 0.1383 0.4991 0.6069
Sr6 0.2166 0.2500 0.3854
Sr7 0.2834 0.7500 0.8854
Sr8 0.3617 0.5009 0.1069
Sr9 0.3617 0.9991 0.1069
Sr10 0.4436 0.2500 0.7090
Sr11 0.5000 0.0000 0.5000
Sr12 0.5000 0.5000 0.5000
Sr13 0.5564 0.7500 0.2910
Sr14 0.6383 0.0009 0.8931
Sr15 0.6383 0.4991 0.8931
Sr16 0.7166 0.2500 0.1146
Sr17 0.7834 0.7500 0.6146
Sr18 0.8617 0.5009 0.3931
Sr19 0.8617 0.9991 0.3931
Sr20 0.9436 0.2500 0.7910
Pt1 0.1842 0.7500 0.0520
Pt2 0.3158 0.2500 0.5520
Pt3 0.6842 0.7500 0.4480
Pt4 0.8158 0.2500 0.9480

## Properties
- Magnetic moment: 0.00 μB/atom
- ΔH_f (0 K): -237.7 meV per atom
- Crystal system: orthorhombic

# 17
The following is a DFT calculation (PBE) of a relaxed Na3Tm2MnSe6 crystal.

Lattice parameters (Å, degrees): 6.9506 6.9506 7.3543 98.88 98.88 120.42
Positions (direct):
Na1 0.0000 0.0000 0.0000
Na2 0.3315 0.6685 0.0000
Na3 0.6685 0.3315 0.0000
Tm1 0.1678 0.8322 0.5000
Tm2 0.8322 0.1678 0.5000
Mn1 0.5000 0.5000 0.5000
Se1 0.1066 0.4243 0.2766
Se2 0.2628 0.2628 0.7137
Se3 0.4243 0.1066 0.2766
Se4 0.5757 0.8934 0.7234
Se5 0.7372 0.7372 0.2863
Se6 0.8934 0.5757 0.7234

## Properties
- Magnetic moment: 0.33 μB/atom
- Raw formation energy: -1.335 eV/atom
- Crystal system: monoclinic

# 18
The following is a DFT calculation (PBE) of a relaxed Ba2MgSc crystal.

Lattice parameters (Å, degrees): 6.1255 6.1255 4.2430 90.00 90.00 90.05
Positions (direct):
Ba1 0.0000 0.5000 0.0000
Ba2 0.5000 0.0000 0.0000
Mg1 0.0000 0.0000 0.5000
Sc1 0.5000 0.5000 0.5000

## Properties
- Magnetic moment: 0.00 μB/atom
- ΔH_f (0 K): 220.2 meV per atom
- Crystal system: orthorhombic

# 19
The following is a DFT calculation (PBE) of a relaxed NdSmTm3Sc crystal.

Lattice parameters (Å, degrees): 7.8402 7.8402 9.9250 90.00 90.00 143.09
Positions (direct):
Nd1 0.0018 0.9982 0.7500
Nd2 0.9982 0.0018 0.2500
Sm1 0.5000 0.5000 0.0000
Sm2 0.5000 0.5000 0.5000
Tm1 0.1692 0.8308 0.9999
Tm2 0.1692 0.8308 0.5001
Tm3 0.3294 0.6706 0.7500
Tm4 0.6706 0.3294 0.2500
Tm5 0.8308 0.1692 0.0001
Tm6 0.8308 0.1692 0.4999
Sc1 0.3309 0.6691 0.2500
Sc2 0.6691 0.3309 0.7500

## Properties
- Magnetic moment: 0.00 μB/atom
- ΔH_f (0 K): 41.9 meV per atom
- Crystal system: orthorhombic

# 20
The following is a DFT calculation (PBE) of a relaxed CaNpTc2O8 crystal.

Lattice parameters (Å, degrees): 6.7744 6.7744 6.7744 134.48 134.48 66.35
Positions (direct):
Ca1 0.0000 0.0000 0.0000
Np1 0.7500 0.2500 0.5000
Tc1 0.2500 0.7500 0.5000
Tc2 0.5000 0.5000 0.0000
O1 0.0715 0.6555 0.0692
O2 0.1625 0.2524 0.5890
O3 0.3445 0.4137 0.4160
O4 0.4264 0.8375 0.0899
O5 0.5863 0.0023 0.9308
O6 0.6634 0.5736 0.4110
O7 0.7476 0.3366 0.9101
O8 0.9977 0.9285 0.5840

## Properties
- Magnetic moment: 0.42 μB/atom
- Raw formation energy: -1.997 eV/atom
- Crystal system: tetragonal